Record 1
DFT (meta-GGA SCAN) results for a crystal of KCd2Mo relaxed with PBEsol.

Summary:
The value obtained for the spin magnetization is 3.348 μB per formula unit. As for the volume: 104 Å³/f.u. The excess energy over the best structure of this formula in the dataset comes out at 181 meV per atom. The formation energy from the elements is 0.7705 eV per atom.

Unit cell a=3.5819 b=3.5819 c=8.0831 alpha=90.00 beta=90.00 gamma=90.00
Last column: nearest neighbours and their distance in Å.
Atoms (fractional coordinates):
K: 0.0000 0.0000 0.0000  4 K 3.58, 5 Cd 3.60-3.77, 4 Mo 3.63
Cd: 0.0000 0.0000 0.4658  4 Mo 2.79, 4 Cd 3.09
Cd: 0.5000 0.5000 0.6838  1 Mo 2.93, 4 Cd 3.09
Mo: 0.5000 0.5000 0.3210  5 Cd 2.79-2.93


Record 2
DFT (meta-GGA SCAN) results for a crystal of KCd2Mo relaxed with PBEsol.

Summary:
The value obtained for the spin magnetization is 0.779 μB per formula unit. As for the volume: 83 Å³/f.u. The excess energy over the best structure of this formula in the dataset comes out at 0 meV per atom. The formation energy from the elements is 0.5895 eV per atom.

Unit cell a=5.4296 b=5.4296 c=2.8131 alpha=90.00 beta=90.00 gamma=90.00
Last column: nearest neighbours and their distance in Å.
Atoms (fractional coordinates):
K: 0.0000 0.0000 0.0000  2 K 2.81, 8 Cd 3.06
Cd: 0.0000 0.5000 0.5000  2 Cd 2.81, 4 Mo 3.06, 4 K 3.06
Cd: 0.5000 0.0000 0.5000  2 Cd 2.81, 4 Mo 3.06, 4 K 3.06
Mo: 0.5000 0.5000 0.0000  2 Mo 2.81, 8 Cd 3.06